A relaxed LiSiAuSe2S crystal. Source: OQMD, functional PBE.

```
LiSiAuSe2S
1.0
1.716 0.424 -6.794
-4.794 0.126 5.127
1.233 9.677 0.915
Li S Se Si Au
2 2 4 2 2
Cartesian
0.505 7.584 -2.197
-2.350 2.643 1.445
1.756 2.831 -6.075
-3.602 7.396 5.323
-0.690 0.378 -2.367
-1.755 5.139 1.170
-1.156 9.849 1.616
-0.090 5.088 -1.922
0.616 4.839 0.458
0.000 0.000 0.000
-0.199 2.741 -2.495
-1.647 7.485 1.743
```

Summary:
Total DFT energy (no corrections)   -3.975 eV per atom


A relaxed LiSiAuSeS2 crystal. Source: OQMD, functional PBE.

```
LiSiAuSeS2
1.0
1.690 -6.766 0.000
1.690 6.766 0.000
0.000 0.000 9.828
S Li Si Au Se
4 2 2 2 2
Cartesian
1.690 -5.113 5.069
1.690 5.113 4.759
1.690 -5.113 9.673
1.690 5.113 0.155
1.690 4.173 7.371
1.690 -4.173 2.457
1.690 0.000 4.914
1.690 0.000 0.000
1.690 -4.787 7.371
1.690 4.787 2.457
1.690 -0.676 7.371
1.690 0.676 2.457
```

Summary:
Total DFT energy (no corrections)   -4.135 eV per atom